Entry from the Alexandria database: a relaxed MnNCl2 crystal (GGA-PBEsol).

Values from the calculation:
Its density of states at the Fermi level is 0.000 states/eV per cell. For the total energy, the calculation gives -4.899 eV/atom. The formation energy without anion corrections comes out at 261 kJ/mol of formula units. As for the spin magnetization: 8.00 μB per formula unit.

a b c (Å): 7.0069 7.0069 9.0099
angles (deg): 90.00 90.00 90.00
Last column: nearest neighbours and their distance in Å.
Space group I-42d (No. 122)
Unique sites:
Mn 0.0000 0.0000 0.0000 (multiplicity 4)  4 Cl 2.35
N 0.0000 0.0000 0.5000 (multiplicity 4)  4 Cl 3.19
Cl 0.1543 0.2500 0.1250 (multiplicity 8)  2 Mn 2.35